(a)
Entry from Alexandria: Sb2Pt2Pb after structural relaxation (GGA-PBE).

size of the total moment: 0.0 μB per formula unit
crystal system: tetragonal
DOS(E_F): 0.357 states/eV per atom
space group: No. 139
volume: 24.20 Å³ per atom

a b c (Å): 6.1581 6.1581 6.1581
angles (deg): 133.44 133.44 67.96
Closest atoms and distances in Å follow each position.
Element x y z (fractional)
Sb (0.2500, 0.7500, 0.5000)  4 Pt 2.71
Sb (0.7500, 0.2500, 0.5000)  4 Pt 2.71
Pt (0.1323, 0.1323, 0.0000)  1 Pt 2.70, 4 Sb 2.71
Pt (0.8677, 0.8677, 0.0000)  1 Pt 2.70, 4 Sb 2.71
Pb (0.5000, 0.5000, 0.0000)  8 Sb 3.53, 10 Pt 3.70-3.75

---

(b)
Entry from Alexandria: Sb2Pt2Pb after structural relaxation (GGA-PBE).

size of the total moment: 0.0 μB per formula unit
crystal system: tetragonal
DOS(E_F): 0.534 states/eV per atom
space group: No. 127
volume: 22.18 Å³ per atom

a b c (Å): 8.0226 8.0226 3.4458
angles (deg): 90.00 90.00 90.00
Closest atoms and distances in Å follow each position.
Element x y z (fractional)
Sb (0.1583, 0.3417, 0.0000)  6 Pt 2.88-2.98
Sb (0.3417, 0.8417, 0.0000)  6 Pt 2.88-2.98
Sb (0.6583, 0.1583, 0.0000)  6 Pt 2.88-2.98
Sb (0.8417, 0.6583, 0.0000)  6 Pt 2.88-2.98
Pt (0.1276, 0.6276, 0.5000)  6 Sb 2.88-2.98, 1 Pt 2.90, 2 Pb 3.16
Pt (0.3724, 0.1276, 0.5000)  6 Sb 2.88-2.98, 1 Pt 2.90, 2 Pb 3.16
Pt (0.6276, 0.8724, 0.5000)  6 Sb 2.88-2.98, 1 Pt 2.90, 2 Pb 3.16
Pt (0.8724, 0.3724, 0.5000)  6 Sb 2.88-2.98, 1 Pt 2.90, 2 Pb 3.16
Pb (0.0000, 0.0000, 0.5000)  4 Pt 3.16, 2 Pb 3.45, 8 Sb 3.48
Pb (0.5000, 0.5000, 0.5000)  4 Pt 3.16, 2 Pb 3.45, 8 Sb 3.48

---

Most stable = (a)

---

(a)
Entry from Alexandria: SbPt4Pb after structural relaxation (GGA-PBE).

size of the total moment: 0.0 μB per formula unit
crystal system: cubic
DOS(E_F): 0.423 states/eV per atom
space group: No. 216
volume: 19.18 Å³ per atom

a b c (Å): 5.4596 5.4596 5.4596
angles (deg): 60.00 60.00 60.00
Closest atoms and distances in Å follow each position.
Element x y z (fractional)
Sb (0.0000, 0.0000, 0.0000)  12 Pt 3.20, 4 Pb 3.34
Pt (0.3746, 0.3746, 0.3746)  6 Pt 2.72-2.74
Pt (0.3746, 0.3746, 0.8761)  6 Pt 2.72-2.74
Pt (0.3746, 0.8761, 0.3746)  6 Pt 2.72-2.74
Pt (0.8761, 0.3746, 0.3746)  6 Pt 2.72-2.74
Pb (0.7500, 0.7500, 0.7500)  12 Pt 3.20, 4 Sb 3.34

---

(b)
Entry from Alexandria: SbPt4Pb after structural relaxation (GGA-PBE).

size of the total moment: 0.0 μB per formula unit
crystal system: monoclinic
DOS(E_F): 0.418 states/eV per atom
space group: No. 15
volume: 20.07 Å³ per atom

a b c (Å): 7.5474 7.5474 7.1263
angles (deg): 95.60 95.60 36.63
Closest atoms and distances in Å follow each position.
Element x y z (fractional)
Sb (0.0000, 0.5000, 0.0000)  8 Pt 2.64-2.76
Sb (0.5000, 0.0000, 0.5000)  8 Pt 2.64-2.76
Pt (0.0633, 0.7956, 0.0860)  1 Sb 2.64, 3 Pb 2.77-2.92, 4 Pt 2.78-2.93
Pt (0.0661, 0.5610, 0.3657)  3 Sb 2.67-2.76, 3 Pt 2.77-2.84
Pt (0.2044, 0.9367, 0.4140)  1 Sb 2.64, 3 Pb 2.77-2.92, 4 Pt 2.78-2.93
Pt (0.4390, 0.9339, 0.1343)  3 Sb 2.67-2.76, 3 Pt 2.77-2.84
Pt (0.5610, 0.0661, 0.8657)  3 Sb 2.67-2.76, 3 Pt 2.77-2.84
Pt (0.7956, 0.0633, 0.5860)  1 Sb 2.64, 3 Pb 2.77-2.92, 4 Pt 2.78-2.93
Pt (0.9339, 0.4390, 0.6343)  3 Sb 2.67-2.76, 3 Pt 2.77-2.84
Pt (0.9367, 0.2044, 0.9140)  1 Sb 2.64, 3 Pb 2.77-2.92, 4 Pt 2.78-2.93
Pb (0.3702, 0.6298, 0.7500)  6 Pt 2.77-2.92
Pb (0.6298, 0.3702, 0.2500)  6 Pt 2.77-2.92

---

Most stable = (b)